(1)
Computed, not measured: a geometry-optimized Hf3TiAl structure at the PBE level of DFT.

It has space group Pm-3m (No. 221), with a = 4.8840 Å, b = 4.8840 Å, c = 4.8840 Å, α = 90.00°, β = 90.00° and γ = 90.00°. The asymmetric unit holds Hf at (0.0000, 0.0000, 0.5000), Ti at (0.0000, 0.0000, 0.0000) and Al at (0.5000, 0.5000, 0.5000).

For the density of states at the Fermi level, the calculation gives 7.182 states/eV/cell. As for the formation energy: 0.918 eV/atom. The calculation puts the energy above the most stable polymorph in this dataset at 74.29 kJ/mol of atoms. The calculation puts the total magnetization at 0.000 μB/atom.


(2)
Computed, not measured: a geometry-optimized Hf5TiAl3 structure at the PBE level of DFT.

It has space group P6_3/mcm (No. 193), with a = 8.3263 Å, b = 8.3263 Å, c = 5.8283 Å, α = 90.00°, β = 90.00° and γ = 120.00°. The asymmetric unit holds Hf at (0.0000, 0.3236, 0.2500), Hf at (0.3333, 0.6667, 0.0000), Ti at (0.0000, 0.0000, 0.0000) and Al at (0.0000, 0.3392, 0.7500).

For the density of states at the Fermi level, the calculation gives 16.464 states/eV/cell. As for the formation energy: -0.258 eV/atom. The calculation puts the total magnetization at 0.001 μB/atom.


(3)
Computed, not measured: a geometry-optimized Hf3Ti2Al2 structure at the PBE level of DFT.

It has space group P2/m (No. 10), with a = 4.8049 Å, b = 2.8883 Å, c = 9.8178 Å, α = 90.00°, β = 104.13° and γ = 90.00°. The asymmetric unit holds Hf at (0.0000, 0.0000, 0.0000), Hf at (0.2896, 0.0000, 0.5796), Ti at (0.4307, 0.0000, 0.8604) and Al at (0.1420, 0.5000, 0.2838).

For the density of states at the Fermi level, the calculation gives 7.974 states/eV/cell. As for the formation energy: 0.040 eV/atom. The calculation puts the energy above the most stable polymorph in this dataset at 17.96 kJ/mol of atoms. The calculation puts the total magnetization at 0.000 μB/atom.


(4)
Computed, not measured: a geometry-optimized Hf2Ti2Al3 structure at the PBE level of DFT.

It has space group Immm (No. 71), with a = 2.8426 Å, b = 4.6859 Å, c = 19.0663 Å, α = 90.00°, β = 90.00° and γ = 90.00°. The asymmetric unit holds Hf at (0.0000, 0.0000, 0.0754), Ti at (0.0000, 0.5000, 0.1452), Al at (0.0000, 0.0000, 0.5000) and Al at (0.0000, 0.5000, 0.2926).

For the density of states at the Fermi level, the calculation gives 13.032 states/eV/cell. As for the formation energy: -0.028 eV/atom. The calculation puts the total magnetization at 0.000 μB/atom.


(5)
Computed, not measured: a geometry-optimized TmHfTiAl structure at the PBE level of DFT.

It has space group F-43m (No. 216), with a = 6.9705 Å, b = 6.9705 Å, c = 6.9705 Å, α = 90.00°, β = 90.00° and γ = 90.00°. The asymmetric unit holds Tm at (0.0000, 0.0000, 0.0000), Hf at (0.0000, 0.0000, 0.5000), Ti at (0.2500, 0.2500, 0.7500) and Al at (0.2500, 0.2500, 0.2500).

For the density of states at the Fermi level, the calculation gives 15.119 states/eV/cell. As for the formation energy: -0.054 eV/atom. The calculation puts the total magnetization at 0.698 μB/atom.


(6)
Computed, not measured: a geometry-optimized HfUTiAl structure at the PBE level of DFT.

It has space group F-43m (No. 216), with a = 6.7698 Å, b = 6.7698 Å, c = 6.7698 Å, α = 90.00°, β = 90.00° and γ = 90.00°. The asymmetric unit holds Hf at (0.0000, 0.0000, 0.0000), U at (0.2500, 0.2500, 0.7500), Ti at (0.0000, 0.0000, 0.5000) and Al at (0.2500, 0.2500, 0.2500).

For the density of states at the Fermi level, the calculation gives 23.522 states/eV/cell. As for the formation energy: 0.104 eV/atom. The calculation puts the total magnetization at 0.684 μB/atom.